No. 1
La2MgZnRh: relaxed, PBE.

Cell and atoms, written as CIF:
```
data_La2MgZnRh
_cell_length_a 5.456
_cell_length_b 5.456
_cell_length_c 5.099
_cell_angle_alpha 90.00
_cell_angle_beta 90.00
_cell_angle_gamma 90.00
_symmetry_space_group_name_H-M 'P 4/m m m'
_symmetry_Int_Tables_number 123
_symmetry_space_group_name_Hall '-P 4 2'
loop_
_atom_site_label
_atom_site_type_symbol
_atom_site_fract_x
_atom_site_fract_y
_atom_site_fract_z
La1 La 0.000 0.500 0.000
Mg1 Mg 0.000 0.000 0.500
Zn1 Zn 0.500 0.500 0.500
Rh1 Rh 0.000 0.000 0.000
```

Summary:
- energy relative to the elements (meV per atom) = -286


No. 2
KReAgI6: relaxed, PBE.

Cell and atoms, written as CIF:
```
data_KReAgI6
_cell_length_a 7.6541
_cell_length_b 7.6541
_cell_length_c 15.0053
_cell_angle_alpha 90.00
_cell_angle_beta 90.00
_cell_angle_gamma 120.00
_symmetry_space_group_name_H-M 'P -3 1 c'
_symmetry_Int_Tables_number 163
_symmetry_space_group_name_Hall '-P 3 2c'
loop_
_atom_site_label
_atom_site_type_symbol
_atom_site_fract_x
_atom_site_fract_y
_atom_site_fract_z
K1 K 0.0000 0.0000 0.0000
Re1 Re 0.3333 0.6667 0.2500
Ag1 Ag 0.3333 0.6667 0.7500
I1 I 0.0305 0.3866 0.1439
```

Summary:
- E_form (uncorrected) (eV per atom) = -0.31


No. 3
TlCoTe2: relaxed, PBE.

Cell and atoms, written as CIF:
```
data_TlCoTe2
_cell_length_a 5.777
_cell_length_b 5.777
_cell_length_c 3.156
_cell_angle_alpha 90.00
_cell_angle_beta 90.00
_cell_angle_gamma 90.00
_symmetry_space_group_name_H-M 'P 4/m m m'
_symmetry_Int_Tables_number 123
_symmetry_space_group_name_Hall '-P 4 2'
loop_
_atom_site_label
_atom_site_type_symbol
_atom_site_fract_x
_atom_site_fract_y
_atom_site_fract_z
Tl1 Tl 0.000 0.000 0.000
Co1 Co 0.500 0.500 0.000
Te1 Te 0.000 0.500 0.500
```

Summary:
- E_form (uncorrected) (eV per atom) = 0.54


No. 4
MnTl2Hg: relaxed, PBE.

Cell and atoms, written as CIF:
```
data_MnTl2Hg
_cell_length_a 4.467
_cell_length_b 4.467
_cell_length_c 9.801
_cell_angle_alpha 90.00
_cell_angle_beta 90.00
_cell_angle_gamma 90.00
_symmetry_space_group_name_H-M 'I -4 m 2'
_symmetry_Int_Tables_number 119
_symmetry_space_group_name_Hall 'I -4 -2'
loop_
_atom_site_label
_atom_site_type_symbol
_atom_site_fract_x
_atom_site_fract_y
_atom_site_fract_z
Mn1 Mn 0.000 0.000 0.000
Tl1 Tl 0.000 0.000 0.500
Tl2 Tl 0.000 0.500 0.750
Hg1 Hg 0.000 0.500 0.250
```

Summary:
- energy relative to the elements (meV per atom) = 364


No. 5
CaPa2S6: relaxed, PBE.

Cell and atoms, written as CIF:
```
data_CaPa2S6
_cell_length_a 13.515
_cell_length_b 5.203
_cell_length_c 8.999
_cell_angle_alpha 90.00
_cell_angle_beta 124.03
_cell_angle_gamma 90.00
_symmetry_space_group_name_H-M 'C 1 2/m 1'
_symmetry_Int_Tables_number 12
loop_
_symmetry_equiv_pos_as_xyz
'x,y,z'
'-x,-y,-z'
'-x,y,-z'
'x,-y,z'
'x+1/2,y+1/2,z'
'-x+1/2,-y+1/2,-z'
'-x+1/2,y+1/2,-z'
'x+1/2,-y+1/2,z'
loop_
_atom_site_label
_atom_site_type_symbol
_atom_site_fract_x
_atom_site_fract_y
_atom_site_fract_z
Ca1 Ca 0.000 0.000 0.000
Pa1 Pa 0.180 0.000 0.610
S1 S 0.028 0.000 0.706
S2 S 0.141 0.500 0.080
S3 S 0.216 0.500 0.582
```

Summary:
- E_form (uncorrected) (eV per atom) = -1.57


No. 6
Mg2Ag3Pd8: relaxed, PBE.

Cell and atoms, written as CIF:
```
data_Mg2Ag3Pd8
_cell_length_a 5.2145
_cell_length_b 5.2145
_cell_length_c 29.3551
_cell_angle_alpha 90.00
_cell_angle_beta 90.00
_cell_angle_gamma 120.00
_symmetry_space_group_name_H-M 'R -3 m'
_symmetry_Int_Tables_number 166
_symmetry_space_group_name_Hall '-R 3 2"'
loop_
_atom_site_label
_atom_site_type_symbol
_atom_site_fract_x
_atom_site_fract_y
_atom_site_fract_z
Mg1 Mg 0.0000 0.0000 0.1391
Ag1 Ag 0.0000 0.0000 0.3174
Ag2 Ag 0.0000 0.0000 0.5000
Pd1 Pd 0.0000 0.0000 0.2241
Pd2 Pd 0.0012 0.5006 0.2668
```

Summary:
- energy relative to the elements (meV per atom) = -60


No. 7
AcSmCdSi: relaxed, PBE.

Cell and atoms, written as CIF:
```
data_AcSmCdSi
_cell_length_a 7.650
_cell_length_b 7.650
_cell_length_c 7.650
_cell_angle_alpha 90.00
_cell_angle_beta 90.00
_cell_angle_gamma 90.00
_symmetry_space_group_name_H-M 'F -4 3 m'
_symmetry_Int_Tables_number 216
_symmetry_space_group_name_Hall 'F -4 2 3'
loop_
_atom_site_label
_atom_site_type_symbol
_atom_site_fract_x
_atom_site_fract_y
_atom_site_fract_z
Ac1 Ac 0.000 0.000 0.000
Sm1 Sm 0.000 0.000 0.500
Cd1 Cd 0.250 0.250 0.750
Si1 Si 0.250 0.250 0.250
```

Summary:
- E_form (uncorrected) (eV per atom) = -0.31